DFT (PBE) results for SrPmTeSe after structural relaxation.

Geometry as POSCAR:
```
SrPmTeSe
1.0
-4.3802 0.1537 -0.2858
-2.1291 -2.8031 -2.6270
-2.7067 -5.7391 4.6458
Sr Se Te Pm
1 1 1 1
direct
0.9931 0.9931 0.0206
0.2466 0.2466 0.2601
0.7540 0.7540 0.7379
0.5062 0.5062 0.4814
```

Results
Final energy, eV/cell: -19.9